[1]
VASP calculation (PBE-GGA) on a geometry-optimized BSb2PdSe structure.

Calculated values
DOS at the Fermi energy, states/eV per cell: 2.547
Uncorrected formation energy, eV per atom: 0.661

a = 4.832 Å, b = 4.290 Å, c = 4.832 Å
α = 90.00°, β = 90.00°, γ = 90.00°
Element x y z (fractional)
Sb 0.500 0.000 0.000
Sb 0.000 0.000 0.500
Pd 0.500 0.500 0.500
B 0.000 0.000 0.000
Se 0.000 0.500 0.000

=====

[2]
VASP calculation (PBE-GGA) on a geometry-optimized MgCo2Sn4 structure.

Calculated values
DOS at the Fermi energy, states/eV per cell: 3.505
Energy of formation from the pure elements, eV/atom: -0.09

a = 4.288 Å, b = 4.288 Å, c = 9.411 Å
α = 76.83°, β = 76.83°, γ = 60.00°
Element x y z (fractional)
Co 0.600 0.600 0.201
Co 0.400 0.400 0.799
Sn 0.300 0.300 0.100
Sn 0.700 0.700 0.900
Sn 0.898 0.898 0.306
Sn 0.102 0.102 0.694
Mg 0.500 0.500 0.500

=====

[3]
VASP calculation (PBE-GGA) on a geometry-optimized AcGdCo structure.

Calculated values
Energy above the lowest structure with this stoichiometry, eV per formula unit: 0.32
DOS at the Fermi energy, states/eV per cell: 3.156
Energy of formation from the pure elements, eV/atom: 0.08

a = 4.930 Å, b = 4.930 Å, c = 4.930 Å
α = 60.00°, β = 60.00°, γ = 60.00°
Element x y z (fractional)
Ac 0.000 0.000 0.000
Co 0.250 0.250 0.250
Gd 0.500 0.500 0.500

=====

For each record above, in turn, the calculated total magnetization values are 0.000; 0.000; 7.095 μB/f.u..
For each record above, in turn, the calculated total energy values are -20.3; -32.5; -25.1 eV per cell.